This record from the Alexandria database describes a crystal of Li4Mn3Ni3Sb2O16 relaxed with PBEsol. The functional is meta-GGA SCAN.

Computed properties:
E_form (uncorrected): -1.89 eV per atom
N(E_F): 0.1698 states/eV/atom
DFT total energy: -12.14 eV per atom

Unit cell a=5.748 b=5.799 c=9.504 alpha=91.11 beta=90.00 gamma=119.71
Last column: magnetic moment on the atom in μB.
Positions (direct):
Ni  0.830  0.172  0.286  1.48
Ni  0.172  0.344  0.787  1.68
Ni  0.341  0.172  0.286  1.48
O  0.320  0.153  0.903  0.07
O  0.343  0.687  0.893  0.12
O  0.154  0.822  0.399  0.06
O  0.993  0.985  0.696  0.10
O  0.481  0.962  0.666  -0.01
O  0.668  0.822  0.399  0.06
O  0.994  0.988  0.201  0.05
O  0.520  0.041  0.157  0.09
O  0.836  0.672  0.898  0.02
O  0.972  0.501  0.155  0.05
O  0.155  0.311  0.408  0.03
O  0.673  0.346  0.391  0.09
O  0.833  0.153  0.903  0.07
O  0.499  0.531  0.660  0.09
O  0.033  0.531  0.660  0.09
O  0.529  0.501  0.155  0.05
Mn  0.826  0.653  0.284  2.76
Mn  0.168  0.826  0.786  2.57
Mn  0.657  0.826  0.786  2.57
Li  0.995  0.991  0.506  0.00
Li  0.340  0.680  0.100  0.00
Li  0.000  0.000  0.012  0.00
Li  0.667  0.334  0.597  0.00
Sb  0.327  0.654  0.508  0.02
Sb  0.663  0.326  0.012  0.02